Entry 1:
LuGaCoAg: relaxed, PBE-GGA.

Unit cell a=4.5725 b=4.5725 c=4.5725 alpha=60.00 beta=60.00 gamma=60.00
Element x y z (fractional)
Ag 0.2500 0.2500 0.2500
Ga 0.0000 0.0000 0.0000
Co 0.7500 0.7500 0.7500
Lu 0.5000 0.5000 0.5000

The crystal system is cubic. For the energy above the lowest structure with this stoichiometry, the calculation gives 0 meV per atom. As for the space-group type: F-43m, No. 216.

Entry 2:
BaLa3Tc2: relaxed, PBE-GGA.

Unit cell a=7.3722 b=7.3722 c=3.9503 alpha=90.00 beta=90.00 gamma=120.00
Element x y z (fractional)
La 0.5000 0.0000 0.0000
La 0.0000 0.5000 0.0000
La 0.5000 0.5000 0.0000
Tc 0.6667 0.3333 0.5926
Tc 0.3333 0.6667 0.4074
Ba 0.0000 0.0000 0.5000

The crystal system is trigonal. As for the space-group type: P-3m1, No. 164.

Entry 3:
KScAuSe3: relaxed, PBE-GGA.

Unit cell a=7.9778 b=7.9778 c=10.3687 alpha=90.00 beta=90.00 gamma=151.56
Element x y z (fractional)
Se 0.3772 0.6228 0.5379
Se 0.0756 0.9244 0.7500
Se 0.3772 0.6228 0.9621
Se 0.6228 0.3772 0.4621
Se 0.6228 0.3772 0.0379
Se 0.9244 0.0756 0.2500
Au 0.4619 0.5381 0.7500
Au 0.5381 0.4619 0.2500
Sc 0.0000 0.0000 0.0000
Sc 0.0000 0.0000 0.5000
K 0.7594 0.2406 0.7500
K 0.2406 0.7594 0.2500

The crystal system is orthorhombic. For the energy above the lowest structure with this stoichiometry, the calculation gives 6 meV per atom. As for the space-group type: Cmcm, No. 63.

| no. | final energy (eV/atom) | V (Å³ per atom) |
| --- | --- | --- |
| 1 | -4.55 | 16.900 |
| 2 | -6.02 | 30.989 |
| 3 | -4.54 | 26.193 |